The following is a DFT calculation (PBE) of a relaxed structure of Sc3Ga3Ni.

Lattice parameters (Å, degrees): 5.4188 5.4188 13.4191 107.87 107.87 44.13
Positions (direct):
1 Sc 0.0266 0.0266 0.3823
2 Sc 0.1037 0.1037 0.9231
3 Sc 0.2362 0.2362 0.2343
4 Sc 0.7638 0.7638 0.7657
5 Sc 0.8963 0.8963 0.0769
6 Sc 0.9734 0.9734 0.6177
7 Ga 0.3570 0.3570 0.4600
8 Ga 0.3847 0.3847 0.9233
9 Ga 0.4747 0.4747 0.7654
10 Ga 0.5253 0.5253 0.2346
11 Ga 0.6153 0.6153 0.0767
12 Ga 0.6430 0.6430 0.5400
13 Ni 0.2568 0.2568 0.6113
14 Ni 0.7432 0.7432 0.3887

Results
The density of states at the Fermi level is 10.0 states/eV per cell. The spin magnetization comes out at 0.00 μB per cell. The energy of formation from the pure elements is -4.3 eV per formula unit. Its space group is C2/m (12).